CuAs4H10O16 at its PBEsol-relaxed geometry. Source: the Alexandria database, functional SCAN.

Properties
For the electronic total energy, the calculation gives -265.2 eV for the cell shown. For the magnetic moment, the calculation gives 0.95 μB/f.u.

Cell: 5.3500 7.5246 8.3806 Å, 107.41 98.69 93.12°
Atoms (fractional coordinates):
Cu 0.0000 0.0000 0.0000
As 0.0357 0.2799 0.6943
As 0.4184 0.8082 0.7954
As 0.5816 0.1918 0.2046
As 0.9643 0.7201 0.3057
H 0.0160 0.4032 0.2161
H 0.1025 0.0993 0.4259
H 0.3200 0.2768 0.9254
H 0.4041 0.9624 0.2983
H 0.4172 0.4645 0.3335
H 0.5828 0.5355 0.6665
H 0.5959 0.0376 0.7017
H 0.6800 0.7232 0.0746
H 0.8975 0.9007 0.5741
H 0.9840 0.5968 0.7839
O 0.1057 0.2389 0.4936
O 0.1280 0.9096 0.2874
O 0.1365 0.5275 0.2709
O 0.1369 0.7871 0.8641
O 0.3058 0.3588 0.8468
O 0.3253 0.1512 0.0440
O 0.4132 0.9748 0.6917
O 0.4188 0.5931 0.6461
O 0.5812 0.4069 0.3539
O 0.5868 0.0252 0.3083
O 0.6747 0.8488 0.9560
O 0.6942 0.6412 0.1532
O 0.8631 0.2129 0.1359
O 0.8635 0.4725 0.7291
O 0.8720 0.0904 0.7126
O 0.8943 0.7611 0.5064